1.
Na3SrO after structural relaxation. Source: Alexandria, functional PBE.

The space group is Pm-3m (No. 221) and the conventional cell measures 5.1442, 5.1442 and 5.1442 Å, with angles of 90.00, 90.00 and 90.00 degrees. The asymmetric unit holds Na at (0.0000, 0.0000, 0.5000), Sr at (0.5000, 0.5000, 0.5000) and O at (0.0000, 0.0000, 0.0000).

The calculation puts the uncorrected formation energy at -0.363 eV per atom. For the density of states at the Fermi level, the calculation gives 3.04 states/eV/cell. Its spin magnetization is 0.0 μB/cell. The offset from the most stable computed form comes out at 0.0000 eV per atom. Its calculated density is 2.1 Mg/m³.



2.
KCa4Re after structural relaxation. Source: Alexandria, functional PBE.

The space group is F-43m (No. 216) and the conventional cell measures 9.7004, 9.7004 and 9.7004 Å, with angles of 90.00, 90.00 and 90.00 degrees. The asymmetric unit holds K at (0.0000, 0.0000, 0.0000), Ca at (0.1234, 0.1234, 0.3766) and Re at (0.2500, 0.2500, 0.7500).

For the density of states at the Fermi level, the calculation gives 34.39 states/eV/cell. Its spin magnetization is 15.0 μB/cell. Its calculated density is 2.8 Mg/m³. Its formation enthalpy at 0 K is 1.126 eV per atom.



3.
ZrNbHg2 after structural relaxation. Source: Alexandria, functional PBE.

The space group is Fm-3m (No. 225) and the conventional cell measures 6.9144, 6.9144 and 6.9144 Å, with angles of 90.00, 90.00 and 90.00 degrees. The asymmetric unit holds Zr at (0.0000, 0.0000, 0.0000), Nb at (0.0000, 0.0000, 0.5000) and Hg at (0.2500, 0.2500, 0.2500).

For the density of states at the Fermi level, the calculation gives 16.14 states/eV/cell. Its spin magnetization is 3.3 μB/cell. The offset from the most stable computed form comes out at 0.1369 eV per atom. Its calculated density is 11.8 Mg/m³. Its formation enthalpy at 0 K is 0.167 eV per atom.



4.
TaNbSe3 after structural relaxation. Source: Alexandria, functional PBE.

The space group is Pm-3m (No. 221) and the conventional cell measures 4.9916, 4.9916 and 4.9916 Å, with angles of 90.00, 90.00 and 90.00 degrees. The asymmetric unit holds Ta at (0.0000, 0.0000, 0.0000), Nb at (0.5000, 0.5000, 0.5000) and Se at (0.0000, 0.5000, 0.5000).

The calculation puts the uncorrected formation energy at 0.652 eV per atom. For the density of states at the Fermi level, the calculation gives 5.62 states/eV/cell. Its spin magnetization is 3.3 μB/cell. The offset from the most stable computed form comes out at 1.4049 eV per atom. Its calculated density is 6.8 Mg/m³.